No. 1
# ScMoWBr2 (meta-GGA SCAN, single point on PBEsol structure)
# Calculated volume   24.670 Å³/atom
# DOS at the Fermi energy   4.23 states/eV/cell
# Formation energy without anion corrections   1.58 eV/atom
data_ScMoWBr2
_chemical_formula_sum 'Sc1 Mo1 W1 Br2'
_cell_length_a 4.788
_cell_length_b 4.788
_cell_length_c 5.380
_cell_angle_alpha 90.00
_cell_angle_beta 90.00
_cell_angle_gamma 90.00
_symmetry_space_group_name_H-M 'P 4/m m m'
_symmetry_Int_Tables_number 123
_symmetry_space_group_name_Hall '-P 4 2'
loop_
_atom_site_label
_atom_site_fract_x
_atom_site_fract_y
_atom_site_fract_z
Sc1 0.000 0.000 0.000
Mo1 0.000 0.000 0.500
W1 0.500 0.500 0.000
Br1 0.000 0.500 0.500



No. 2
# ZnSbMo2 (meta-GGA SCAN, single point on PBEsol structure)
# Calculated volume   16.316 Å³/atom
# DOS at the Fermi energy   2.72 states/eV/cell
# Polymorph energy (0 for the lowest one)   48 meV per atom
# Formation energy without anion corrections   0.38 eV/atom
data_ZnSbMo2
_chemical_formula_sum 'Zn1 Sb1 Mo2'
_cell_length_a 3.302
_cell_length_b 4.351
_cell_length_c 4.542
_cell_angle_alpha 90.00
_cell_angle_beta 90.00
_cell_angle_gamma 90.00
_symmetry_space_group_name_H-M 'P m m m'
_symmetry_Int_Tables_number 47
loop_
_symmetry_equiv_pos_as_xyz
'x,y,z'
'-x,-y,-z'
'-x,-y,z'
'x,y,-z'
'x,-y,-z'
'-x,y,z'
'-x,y,-z'
'x,-y,z'
loop_
_atom_site_label
_atom_site_fract_x
_atom_site_fract_y
_atom_site_fract_z
Zn1 0.000 0.000 0.000
Sb1 0.500 0.000 0.500
Mo1 0.000 0.500 0.500
Mo2 0.500 0.500 0.000



No. 3
# CdRu2W (meta-GGA SCAN, single point on PBEsol structure)
# Calculated volume   15.236 Å³/atom
# DOS at the Fermi energy   3.82 states/eV/cell
# DFT formation energy   0.378 eV/atom
data_CdRu2W
_chemical_formula_sum 'Cd1 Ru2 W1'
_cell_length_a 2.763
_cell_length_b 4.039
_cell_length_c 5.461
_cell_angle_alpha 90.00
_cell_angle_beta 90.00
_cell_angle_gamma 90.00
_symmetry_space_group_name_H-M 'P m m 2'
_symmetry_Int_Tables_number 25
loop_
_symmetry_equiv_pos_as_xyz
'x,y,z'
'-x,-y,z'
'-x,y,z'
'x,-y,z'
loop_
_atom_site_label
_atom_site_fract_x
_atom_site_fract_y
_atom_site_fract_z
Cd1 0.000 0.000 0.000
Ru1 0.000 0.000 0.499
Ru2 0.500 0.500 0.254
W1 0.500 0.500 0.703



No. 4
# LiCuOs (meta-GGA SCAN, single point on PBEsol structure)
# Calculated volume   15.331 Å³/atom
# DOS at the Fermi energy   3.80 states/eV/cell
# DFT formation energy   1.178 eV/atom
data_LiCuOs
_chemical_formula_sum 'Li4 Cu4 Os4'
_cell_length_a 5.687
_cell_length_b 5.687
_cell_length_c 5.687
_cell_angle_alpha 90.00
_cell_angle_beta 90.00
_cell_angle_gamma 90.00
_symmetry_space_group_name_H-M 'F -4 3 m'
_symmetry_Int_Tables_number 216
_symmetry_space_group_name_Hall 'F -4 2 3'
loop_
_atom_site_label
_atom_site_fract_x
_atom_site_fract_y
_atom_site_fract_z
Li1 0.000 0.000 0.000
Cu1 0.000 0.000 0.500
Os1 0.250 0.250 0.750



No. 5
# Li17Co3O12 (meta-GGA SCAN, single point on PBEsol structure)
# Calculated volume   8.987 Å³/atom
# DOS at the Fermi energy   20.41 states/eV/cell
# Formation energy without anion corrections   -1.87 eV/atom
data_Li17Co3O12
_chemical_formula_sum 'Li34 Co6 O24'
_cell_length_a 7.928
_cell_length_b 6.457
_cell_length_c 11.234
_cell_angle_alpha 90.00
_cell_angle_beta 90.34
_cell_angle_gamma 90.00
_symmetry_space_group_name_H-M 'P 1 21 1'
_symmetry_Int_Tables_number 4
loop_
_symmetry_equiv_pos_as_xyz
'x,y,z'
'-x,y+1/2,-z'
loop_
_atom_site_label
_atom_site_fract_x
_atom_site_fract_y
_atom_site_fract_z
Li1 0.051 0.000 0.404
Li2 0.055 0.435 0.401
Li3 0.059 0.702 0.184
Li4 0.099 0.988 0.937
Li5 0.120 0.431 0.913
Li6 0.122 0.232 0.657
Li7 0.226 0.917 0.742
Li8 0.234 0.708 0.023
Li9 0.261 0.926 0.262
Li10 0.268 0.210 0.477
Li11 0.274 0.497 0.262
Li12 0.385 0.681 0.846
Li13 0.389 0.993 0.073
Li14 0.403 0.420 0.075
Li15 0.421 0.431 0.604
Li16 0.433 0.206 0.312
Li17 0.441 0.992 0.592
Co1 0.081 0.212 0.165
Co2 0.248 0.714 0.498
Co3 0.414 0.211 0.832
O1 0.136 0.714 0.343
O2 0.147 0.944 0.103
O3 0.154 0.720 0.863
O4 0.159 0.468 0.097
O5 0.176 0.187 0.823
O6 0.180 0.450 0.554
O7 0.186 0.212 0.321
O8 0.186 0.976 0.569
O9 0.477 0.702 0.010
O10 0.484 0.943 0.764
O11 0.492 0.712 0.519
O12 0.496 0.960 0.233



No. 6
# MoC3S2Cl7O (meta-GGA SCAN, single point on PBEsol structure)
# Calculated volume   23.500 Å³/atom
# Formation energy without anion corrections   -0.52 eV/atom
data_MoC3S2Cl7O
_chemical_formula_sum 'Mo2 C6 S4 Cl14 O2'
_cell_length_a 8.090
_cell_length_b 9.943
_cell_length_c 8.642
_cell_angle_alpha 90.00
_cell_angle_beta 108.82
_cell_angle_gamma 90.00
_symmetry_space_group_name_H-M 'P 1 c 1'
_symmetry_Int_Tables_number 7
loop_
_symmetry_equiv_pos_as_xyz
'x,y,z'
'x,-y,z+1/2'
loop_
_atom_site_label
_atom_site_fract_x
_atom_site_fract_y
_atom_site_fract_z
Mo1 0.000 0.228 0.000
C1 0.367 0.309 0.624
C2 0.510 0.337 0.572
C3 0.584 0.224 0.524
S1 0.307 0.145 0.626
S2 0.496 0.071 0.541
Cl1 0.029 0.320 0.256
Cl2 0.251 0.426 0.682
Cl3 0.298 0.172 0.114
Cl4 0.587 0.494 0.566
Cl5 0.709 0.190 0.977
Cl6 0.747 0.230 0.446
Cl7 0.980 0.042 0.831
O1 0.994 0.360 0.881



No. 7
# TlI3 (meta-GGA SCAN, single point on PBEsol structure)
# Calculated volume   37.809 Å³/atom
# DOS at the Fermi energy   0.00 states/eV/cell
# Formation energy without anion corrections   -0.33 eV/atom
data_TlI3
_chemical_formula_sum 'Tl4 I12'
_cell_length_a 10.270
_cell_length_b 6.245
_cell_length_c 9.432
_cell_angle_alpha 90.00
_cell_angle_beta 90.00
_cell_angle_gamma 90.00
_symmetry_space_group_name_H-M 'P n m a'
_symmetry_Int_Tables_number 62
loop_
_symmetry_equiv_pos_as_xyz
'x,y,z'
'-x,-y,-z'
'-x+1/2,-y,z+1/2'
'x+1/2,y,-z+1/2'
'x+1/2,-y+1/2,-z+1/2'
'-x+1/2,y+1/2,z+1/2'
'-x,y+1/2,-z'
'x,-y+1/2,z'
loop_
_atom_site_label
_atom_site_fract_x
_atom_site_fract_y
_atom_site_fract_z
Tl1 0.170 0.250 0.027
I1 0.089 0.750 0.262
I2 0.125 0.250 0.545
I3 0.148 0.750 0.844



No. 8
# RhWCl3 (meta-GGA SCAN, single point on PBEsol structure)
# Calculated volume   20.407 Å³/atom
# DOS at the Fermi energy   4.84 states/eV/cell
# Formation energy without anion corrections   0.91 eV/atom
data_RhWCl3
_chemical_formula_sum 'Rh1 W1 Cl3'
_cell_length_a 4.673
_cell_length_b 4.673
_cell_length_c 4.673
_cell_angle_alpha 90.00
_cell_angle_beta 90.00
_cell_angle_gamma 90.00
_symmetry_space_group_name_H-M 'P m -3 m'
_symmetry_Int_Tables_number 221
_symmetry_space_group_name_Hall '-P 4 2 3'
loop_
_atom_site_label
_atom_site_fract_x
_atom_site_fract_y
_atom_site_fract_z
Rh1 0.000 0.000 0.000
W1 0.500 0.500 0.500
Cl1 0.000 0.000 0.500